(1)
Below is a geometry-optimized K3Ca2TaO6 structure, with properties calculated at the PBE level.

Output
Space group ... C2/m, No. 12
Crystal system ... monoclinic
VASP energy ... -6.552 eV/atom

Lattice parameters (Å, degrees): 5.8919 5.8919 6.4659 98.79 98.79 119.96
Fractional positions:
K 0.0000 0.0000 0.0000
K 0.3316 0.6684 0.0000
K 0.6684 0.3316 0.0000
Ca 0.1665 0.8335 0.5000
Ca 0.8335 0.1665 0.5000
Ta 0.5000 0.5000 0.5000
O 0.1491 0.4385 0.3161
O 0.2726 0.2726 0.6838
O 0.4385 0.1491 0.3161
O 0.5615 0.8509 0.6839
O 0.7274 0.7274 0.3162
O 0.8509 0.5615 0.6839

(2)
Below is a geometry-optimized Dy7RhBr12 structure, with properties calculated at the PBE level.

Output
Space group ... R-3, No. 148
Crystal system ... trigonal
VASP energy ... -4.578 eV/atom

Lattice parameters (Å, degrees): 9.2684 9.2684 9.2684 106.67 106.67 106.67
Fractional positions:
Dy 0.0000 0.0000 0.0000
Dy 0.1935 0.4811 0.4006
Dy 0.4006 0.1935 0.4811
Dy 0.4811 0.4006 0.1935
Dy 0.5189 0.5994 0.8065
Dy 0.5994 0.8065 0.5189
Dy 0.8065 0.5189 0.5994
Rh 0.5000 0.5000 0.5000
Br 0.0387 0.1167 0.3305
Br 0.1167 0.3305 0.0387
Br 0.1736 0.5703 0.7194
Br 0.2806 0.8264 0.4297
Br 0.3305 0.0387 0.1167
Br 0.4297 0.2806 0.8264
Br 0.5703 0.7194 0.1736
Br 0.6695 0.9613 0.8833
Br 0.7194 0.1736 0.5703
Br 0.8264 0.4297 0.2806
Br 0.8833 0.6695 0.9613
Br 0.9613 0.8833 0.6695